1.
First-principles (GGA-PBE) data for a geometry-optimized Ta2NbF structure, as listed in Alexandria via LeMat-Bulk.

a b c (Å): 7.1359 7.1359 7.1359
angles (deg): 138.33 138.33 60.40
Atoms (fractional coordinates):
Ta: 0.3750 0.2441 0.3691
Ta: 0.7559 0.1250 0.1309
Ta: 0.8750 0.0059 0.6309
Ta: 0.9941 0.6250 0.8691
Nb: 0.2500 0.7500 0.5000
Nb: 0.5000 0.5000 0.0000
F: 0.0000 0.0000 0.0000
F: 0.7500 0.2500 0.5000

Values from the calculation:
For the uncorrected formation energy, the calculation gives 0.674 eV/atom. The calculation puts the energy above the most stable polymorph in this dataset at 39.2 kJ/mol of atoms. Its crystal system is tetragonal. For the energy, the calculation gives -8.24 eV/atom. For the density, the calculation gives 9.90 g/cm³.

2.
First-principles (GGA-PBE) data for a geometry-optimized TaNbTcF2 structure, as listed in Alexandria via LeMat-Bulk.

a b c (Å): 3.9312 3.9312 5.8332
angles (deg): 90.00 90.00 90.00
Atoms (fractional coordinates):
Ta: 0.0000 0.0000 0.0000
Nb: 0.0000 0.0000 0.5000
Tc: 0.5000 0.5000 0.0000
F: 0.0000 0.5000 0.5000
F: 0.5000 0.0000 0.5000

Values from the calculation:
For the uncorrected formation energy, the calculation gives -0.304 eV/atom. Its crystal system is tetragonal. For the energy, the calculation gives -7.51 eV/atom. For the density, the calculation gives 7.55 g/cm³.

Record-wise N(E_F) values, in states/eV per cell: 12.24; 4.99